Record 1
Sm11Ho9Tm4 (PBE, relaxed); total energy = -4.57 eV per atom; symmetry = Cmmm (65); formation energy = 0.05 eV per atom; mass density = 8.142 g/cm³
1.0
8.411 -12.758 0.000
8.411 12.758 0.000
0.000 0.000 3.625
Sm Ho Tm
11 9 4
Direct
0.000 0.000 0.000
0.043 0.406 0.000
0.161 0.839 0.000
0.293 0.293 0.000
0.369 0.631 0.000
0.406 0.043 0.000
0.594 0.957 0.000
0.631 0.369 0.000
0.707 0.707 0.000
0.839 0.161 0.000
0.957 0.594 0.000
0.069 0.214 0.500
0.166 0.630 0.500
0.214 0.069 0.500
0.370 0.834 0.500
0.500 0.500 0.500
0.630 0.166 0.500
0.786 0.931 0.500
0.834 0.370 0.500
0.931 0.786 0.500
0.241 0.445 0.500
0.445 0.241 0.500
0.555 0.759 0.500
0.759 0.555 0.500

=====

Record 2
TeAs2S (PBE, relaxed); total energy = -3.65 eV per atom; symmetry = Fm-3m (225); formation energy from raw total energies = 47.0 kJ per mole of atoms; mass density = 6.262 g/cm³
1.0
6.898 0.000 0.000
0.000 6.898 0.000
0.000 0.000 6.898
Te As S
4 8 4
Direct
0.000 0.000 0.000
0.000 0.500 0.500
0.500 0.000 0.500
0.500 0.500 0.000
0.250 0.250 0.250
0.250 0.250 0.750
0.250 0.750 0.250
0.250 0.750 0.750
0.750 0.250 0.250
0.750 0.250 0.750
0.750 0.750 0.250
0.750 0.750 0.750
0.000 0.000 0.500
0.000 0.500 0.000
0.500 0.000 0.000
0.500 0.500 0.500

=====

Record 3
Ac2CS (PBE, relaxed); total energy = -6.30 eV per atom; symmetry = R-3m (166); formation energy from raw total energies = -87.8 kJ per mole of atoms; mass density = 7.785 g/cm³
1.0
4.159 0.000 0.000
-2.079 3.602 0.000
0.000 0.000 21.280
Ac C S
6 3 3
Direct
0.000 0.000 0.239
0.000 0.000 0.761
0.333 0.667 0.428
0.333 0.667 0.905
0.667 0.333 0.095
0.667 0.333 0.572
0.000 0.000 0.500
0.333 0.667 0.167
0.667 0.333 0.833
0.000 0.000 0.000
0.333 0.667 0.667
0.667 0.333 0.333

=====

Record 4
SrLa2Hg (PBE, relaxed); total energy = -3.12 eV per atom; symmetry = P4/mmm (123); formation energy = -0.16 eV per atom; mass density = 6.194 g/cm³
1.0
4.019 0.000 0.000
0.000 4.019 0.000
0.000 0.000 9.392
Sr La Hg
1 2 1
Direct
0.000 0.000 0.000
0.500 0.500 0.314
0.500 0.500 0.686
0.000 0.000 0.500

=====

Record 5
Ba2NaPRh (PBE, relaxed); total energy = -3.98 eV per atom; symmetry = P4/mmm (123); formation energy = -0.39 eV per atom; mass density = 4.073 g/cm³
1.0
6.239 0.000 0.000
0.000 6.239 0.000
0.000 0.000 4.520
Ba Na P Rh
2 1 1 1
Direct
0.000 0.500 0.000
0.500 0.000 0.000
0.000 0.000 0.500
0.500 0.500 0.500
0.500 0.500 0.000

=====

Record 6
Ac12Ir2Rh5 (PBE, relaxed); total energy = -5.99 eV per atom; symmetry = C2/m (12); formation energy = -0.53 eV per atom; mass density = 9.090 g/cm³
1.0
7.931 -4.156 0.000
7.931 4.156 0.000
-2.898 0.000 10.039
Ac Ir Rh
12 2 5
Direct
0.038 0.038 0.329
0.053 0.570 0.351
0.124 0.616 0.992
0.384 0.876 0.008
0.430 0.947 0.649
0.435 0.435 0.671
0.565 0.565 0.329
0.570 0.053 0.351
0.616 0.124 0.992
0.876 0.384 0.008
0.947 0.430 0.649
0.962 0.962 0.671
0.262 0.738 0.500
0.738 0.262 0.500
0.213 0.213 0.887
0.236 0.236 0.474
0.500 0.500 0.000
0.764 0.764 0.526
0.787 0.787 0.113

=====

Record 7
HPdN2O (PBE, relaxed); total energy = -3.87 eV per atom; symmetry = P4/mmm (123); mass density = 4.060 g/cm³
1.0
3.842 0.000 0.000
0.000 3.842 0.000
0.000 0.000 4.197
H Pd N O
1 1 2 1
Direct
0.000 0.000 0.000
0.500 0.500 0.500
0.000 0.500 0.500
0.500 0.000 0.500
0.500 0.500 0.000

=====

Record 8
Ga3Ni20B6 (PBE, relaxed); total energy = -6.01 eV per atom; symmetry = Fm-3m (225); formation energy = -0.33 eV per atom; mass density = 8.269 g/cm³
1.0
0.000 5.258 5.258
5.258 0.000 5.258
5.258 5.258 0.000
Ga Ni B
3 20 6
Direct
0.000 0.000 0.000
0.250 0.250 0.250
0.750 0.750 0.750
0.000 0.000 0.338
0.000 0.000 0.662
0.000 0.338 0.000
0.000 0.338 0.662
0.000 0.662 0.000
0.000 0.662 0.338
0.148 0.617 0.617
0.338 0.000 0.000
0.338 0.000 0.662
0.338 0.662 0.000
0.383 0.383 0.383
0.383 0.383 0.852
0.383 0.852 0.383
0.617 0.148 0.617
0.617 0.617 0.148
0.617 0.617 0.617
0.662 0.000 0.000
0.662 0.000 0.338
0.662 0.338 0.000
0.852 0.383 0.383
0.275 0.275 0.725
0.275 0.725 0.275
0.275 0.725 0.725
0.725 0.275 0.275
0.725 0.275 0.725
0.725 0.725 0.275

=====

Record 9
Ba2InBiPd (PBE, relaxed); total energy = -3.73 eV per atom; symmetry = P4/mmm (123); formation energy = -0.60 eV per atom; mass density = 6.169 g/cm³
1.0
6.023 0.000 0.000
0.000 6.023 0.000
0.000 0.000 5.230
Ba In Bi Pd
2 1 1 1
Direct
0.000 0.500 0.000
0.500 0.000 0.000
0.000 0.000 0.500
0.500 0.500 0.500
0.000 0.000 0.000

=====

Record 10
Nb2SiC2 (PBE, relaxed); total energy = -8.61 eV per atom; symmetry = I4/mmm (139); formation energy from raw total energies = 18.9 kJ per mole of atoms; mass density = 6.447 g/cm³
1.0
4.295 0.000 0.000
0.000 4.295 0.000
0.000 0.000 6.644
Nb Si C
4 2 4
Direct
0.000 0.500 0.250
0.000 0.500 0.750
0.500 0.000 0.250
0.500 0.000 0.750
0.000 0.000 0.000
0.500 0.500 0.500
0.000 0.000 0.387
0.000 0.000 0.613
0.500 0.500 0.113
0.500 0.500 0.887

=====

Record 11
Rb3Na4Hg2 (PBE, relaxed); total energy = -1.08 eV per atom; symmetry = C2/m (12); formation energy = -0.11 eV per atom; mass density = 3.010 g/cm³
1.0
8.461 -2.529 0.000
8.461 2.529 0.000
-3.994 0.000 9.664
Rb Na Hg
3 4 2
Direct
0.000 0.000 0.000
0.374 0.374 0.611
0.626 0.626 0.389
0.127 0.127 0.710
0.321 0.321 0.999
0.679 0.679 0.001
0.873 0.873 0.290
0.233 0.233 0.222
0.767 0.767 0.778

=====

Record 12
MgZnNO2 (PBE, relaxed); total energy = -4.06 eV per atom; symmetry = P4/mmm (123); formation energy from raw total energies = 15.7 kJ per mole of atoms; mass density = 3.682 g/cm³
1.0
3.858 0.000 0.000
0.000 3.858 0.000
0.000 0.000 4.112
Mg Zn N O
1 1 1 2
Direct
0.000 0.000 0.000
0.500 0.500 0.500
0.000 0.000 0.500
0.000 0.500 0.000
0.500 0.000 0.000

=====

Q: Which N(E_F) values were calculated for the entries above? A: 1.266; 0.519; 0.623; 1.557; 0.703; 0.731; 1.156; 0.446; 0.168; 0.367; 0.492; 0.319, in states/eV/atom.